[1]
## LiErBi2Se4 (PBE-GGA)

Data for an optimized crystal structure of LiErBi2Se4.

Output
- space-group type = P2/m, No. 10
- uncorrected energy (eV/atom) = -4.34

Cell lengths 4.039, 9.037, 7.633 Å; angles 125.08, 90.00, 90.00 degrees
Element x y z (fractional)
1 Li 0.000 0.000 0.000
2 Er 0.500 0.500 0.000
3 Bi 0.500 0.000 0.500
4 Bi 0.000 0.500 0.500
5 Se 0.500 0.277 0.158
6 Se 0.500 0.723 0.842
7 Se 0.000 0.290 0.683
8 Se 0.000 0.710 0.317



[2]
## Ca3TlP (PBE-GGA)

Data for an optimized crystal structure of Ca3TlP.

Output
- space-group type = C2/c, No. 15
- formation energy from the elements (meV/atom) = -566

Cell lengths 13.112, 9.507, 9.507 Å; angles 85.02, 125.17, 54.83 degrees
Element x y z (fractional)
1 P 0.750 0.203 0.703
2 P 0.250 0.797 0.297
3 P 0.750 0.503 0.003
4 P 0.250 0.497 0.997
5 Tl 0.165 0.321 0.382
6 Tl 0.335 0.882 0.821
7 Tl 0.835 0.679 0.618
8 Tl 0.665 0.118 0.179
9 Ca 0.509 0.186 0.454
10 Ca 0.991 0.954 0.686
11 Ca 0.491 0.814 0.546
12 Ca 0.009 0.046 0.314
13 Ca 0.979 0.243 0.947
14 Ca 0.521 0.447 0.743
15 Ca 0.021 0.757 0.053
16 Ca 0.479 0.553 0.257
17 Ca 0.634 0.888 0.944
18 Ca 0.866 0.444 0.388
19 Ca 0.366 0.112 0.056
20 Ca 0.134 0.556 0.612



[3]
## LiCuW (PBE-GGA)

Data for an optimized crystal structure of LiCuW.

Output
- space-group type = Pnma, No. 62
- formation energy from the elements (meV/atom) = 364

Cell lengths 6.634, 2.878, 9.467 Å; angles 90.00, 90.00, 90.00 degrees
Element x y z (fractional)
1 Cu 0.855 0.250 0.718
2 Cu 0.645 0.750 0.218
3 Cu 0.145 0.750 0.282
4 Cu 0.355 0.250 0.782
5 W 0.432 0.250 0.403
6 W 0.068 0.750 0.903
7 W 0.568 0.750 0.597
8 W 0.932 0.250 0.097
9 Li 0.864 0.250 0.412
10 Li 0.636 0.750 0.912
11 Li 0.136 0.750 0.588
12 Li 0.364 0.250 0.088



[4]
## Nd3Sm6Cd (PBE-GGA)

Data for an optimized crystal structure of Nd3Sm6Cd.

Output
- space-group type = P2_1/m, No. 11
- formation energy from the elements (meV/atom) = -20

Cell lengths 5.185, 11.070, 11.516 Å; angles 92.96, 90.00, 90.00 degrees
Element x y z (fractional)
1 Nd 0.250 0.552 0.404
2 Nd 0.750 0.448 0.596
3 Nd 0.250 0.344 0.789
4 Nd 0.750 0.656 0.211
5 Nd 0.250 0.755 0.014
6 Nd 0.750 0.245 0.986
7 Sm 0.250 0.450 0.101
8 Sm 0.750 0.550 0.899
9 Sm 0.250 0.155 0.181
10 Sm 0.750 0.845 0.819
11 Sm 0.250 0.657 0.705
12 Sm 0.750 0.343 0.295
13 Sm 0.250 0.226 0.489
14 Sm 0.750 0.774 0.511
15 Sm 0.250 0.871 0.322
16 Sm 0.750 0.129 0.678
17 Sm 0.250 0.043 0.889
18 Sm 0.750 0.957 0.111
19 Cd 0.250 0.943 0.613
20 Cd 0.750 0.057 0.387



[5]
## ZnTc2Hg (PBE-GGA)

Data for an optimized crystal structure of ZnTc2Hg.

Output
- space-group type = I4/mmm, No. 139
- formation energy from the elements (meV/atom) = 524

Cell lengths 5.161, 5.161, 5.161 Å; angles 136.66, 136.66, 62.96 degrees
Element x y z (fractional)
1 Hg 0.750 0.250 0.500
2 Tc 0.000 0.000 0.000
3 Tc 0.500 0.500 0.000
4 Zn 0.250 0.750 0.500



[6]
## Tm2Pd3Au3 (PBE-GGA)

Data for an optimized crystal structure of Tm2Pd3Au3.

Output
- space-group type = Cmcm, No. 63
- formation energy from the elements (meV/atom) = -668

Cell lengths 4.856, 5.307, 13.706 Å; angles 90.00, 90.00, 117.23 degrees
Element x y z (fractional)
1 Tm 0.759 0.518 0.890
2 Tm 0.241 0.482 0.390
3 Tm 0.759 0.518 0.610
4 Tm 0.241 0.482 0.110
5 Pd 0.597 0.194 0.429
6 Pd 0.403 0.806 0.929
7 Pd 0.597 0.194 0.071
8 Pd 0.403 0.806 0.571
9 Pd 0.452 0.903 0.250
10 Pd 0.548 0.097 0.750
11 Au 0.917 0.834 0.417
12 Au 0.083 0.166 0.917
13 Au 0.917 0.834 0.083
14 Au 0.083 0.166 0.583
15 Au 0.754 0.509 0.250
16 Au 0.246 0.491 0.750



[7]
## Tm4CdSe7 (PBE-GGA)

Data for an optimized crystal structure of Tm4CdSe7.

Output
- space-group type = Cm, No. 8
- uncorrected energy (eV/atom) = -5.19

Cell lengths 6.867, 6.867, 12.106 Å; angles 75.06, 75.06, 33.37 degrees
Element x y z (fractional)
1 Tm 0.703 0.703 0.188
2 Tm 0.316 0.316 0.788
3 Tm 0.008 0.008 0.003
4 Tm 0.110 0.110 0.573
5 Cd 0.882 0.882 0.418
6 Se 0.735 0.735 0.645
7 Se 0.251 0.251 0.350
8 Se 0.347 0.347 0.046
9 Se 0.668 0.668 0.945
10 Se 0.042 0.042 0.218
11 Se 0.966 0.966 0.790
12 Se 0.474 0.474 0.536



[8]
## Sm7Dy4Y (PBE-GGA)

Data for an optimized crystal structure of Sm7Dy4Y.

Output
- space-group type = C2/m, No. 12
- formation energy from the elements (meV/atom) = 266

Cell lengths 5.987, 11.633, 6.739 Å; angles 83.54, 63.63, 75.09 degrees
Element x y z (fractional)
1 Sm 0.788 0.921 0.503
2 Sm 0.212 0.079 0.497
3 Sm 0.060 0.677 0.202
4 Sm 0.940 0.323 0.798
5 Sm 0.369 0.501 0.760
6 Sm 0.500 0.000 0.000
7 Sm 0.631 0.499 0.240
8 Dy 0.640 0.224 0.497
9 Dy 0.360 0.776 0.503
10 Dy 0.754 0.681 0.811
11 Dy 0.246 0.319 0.189
12 Y 0.000 0.000 0.000



[9]
## PmGdGePt (PBE-GGA)

Data for an optimized crystal structure of PmGdGePt.

Output
- space-group type = F-43m, No. 216
- formation energy from the elements (meV/atom) = -886

Cell lengths 5.096, 5.096, 5.096 Å; angles 60.00, 60.00, 60.00 degrees
Each line ends with the local moment (μB).
Element x y z (fractional)
1 Ge 0.250 0.250 0.250  -0.04
2 Gd 0.500 0.500 0.500  7.03
3 Pt 0.750 0.750 0.750  -0.03
4 Pm 0.000 0.000 0.000  0.04



[10]
## La2ErPb (PBE-GGA)

Data for an optimized crystal structure of La2ErPb.

Output
- space-group type = P4/mmm, No. 123
- formation energy from the elements (meV/atom) = -333

Cell lengths 5.114, 4.941, 4.941 Å; angles 90.00, 90.00, 90.00 degrees
Element x y z (fractional)
1 Pb 0.500 0.000 0.000
2 La 0.000 0.000 0.500
3 La 0.000 0.500 0.000
4 Er 0.500 0.500 0.500



[11]
## K2UTlS5 (PBE-GGA)

Data for an optimized crystal structure of K2UTlS5.

Output
- space-group type = Cmc2_1, No. 36
- uncorrected energy (eV/atom) = -5.04

Cell lengths 4.088, 9.430, 13.987 Å; angles 90.00, 90.00, 102.52 degrees
Each line ends with the local moment (μB).
Element x y z (fractional)
1 K 0.868 0.736 0.816  0.00
2 K 0.102 0.205 0.671  0.00
3 K 0.132 0.264 0.316  0.00
4 K 0.898 0.795 0.171  0.00
5 U 0.784 0.568 0.525  1.21
6 U 0.216 0.432 0.025  1.21
7 Tl 0.551 0.102 0.934  0.00
8 Tl 0.449 0.898 0.434  0.00
9 S 0.348 0.696 0.003  -0.06
10 S 0.701 0.402 0.901  -0.04
11 S 0.497 0.995 0.778  0.00
12 S 0.283 0.566 0.645  -0.05
13 S 0.935 0.869 0.551  -0.02
14 S 0.652 0.304 0.503  -0.06
15 S 0.299 0.598 0.401  -0.04
16 S 0.503 0.005 0.278  0.00
17 S 0.717 0.434 0.145  -0.05
18 S 0.065 0.131 0.051  -0.02



[12]
## MgOsS2N (PBE-GGA)

Data for an optimized crystal structure of MgOsS2N.

Output
- space-group type = P4/mmm, No. 123
- uncorrected energy (eV/atom) = -5.81

Cell lengths 4.875, 4.875, 3.678 Å; angles 90.00, 90.00, 90.00 degrees
Each line ends with the local moment (μB).
Element x y z (fractional)
1 S 0.000 0.500 0.000  0.01
2 S 0.500 0.000 0.000  0.01
3 Os 0.000 0.000 0.000  0.14
4 Mg 0.500 0.500 0.500  0.00
5 N 0.000 0.000 0.500  0.00



Please write out number 1 again, unchanged.
## LiErBi2Se4 (PBE-GGA)

Data for an optimized crystal structure of LiErBi2Se4.

Output
- space-group type = P2/m, No. 10
- uncorrected energy (eV/atom) = -4.34

Cell lengths 4.039, 9.037, 7.633 Å; angles 125.08, 90.00, 90.00 degrees
Element x y z (fractional)
1 Li 0.000 0.000 0.000
2 Er 0.500 0.500 0.000
3 Bi 0.500 0.000 0.500
4 Bi 0.000 0.500 0.500
5 Se 0.500 0.277 0.158
6 Se 0.500 0.723 0.842
7 Se 0.000 0.290 0.683
8 Se 0.000 0.710 0.317